The following is a PBE-GGA calculation of crystalline Tc2BOs at its relaxed geometry, from OQMD.

The structure in CIF format:
```
data_Tc2BOs
_chemical_formula_sum 'Tc2 B1 Os1'
_cell_length_a 4.179
_cell_length_b 4.179
_cell_length_c 4.179
_cell_angle_alpha 60.00
_cell_angle_beta 60.00
_cell_angle_gamma 60.00
_symmetry_space_group_name_H-M 'P 1'
_symmetry_Int_Tables_number 1
_symmetry_space_group_name_Hall 'P 1'
loop_
_atom_site_label
_atom_site_type_symbol
_atom_site_fract_x
_atom_site_fract_y
_atom_site_fract_z
B1 B 0.500 0.500 0.500
Os1 Os 0.250 0.250 0.250
Tc1 Tc 0.750 0.750 0.750
Tc2 Tc 0.000 0.000 0.000
```

Calculated values
Total moment: 0.0 μB/cell
Raw total energy: -9.09 eV/atom